A plane-wave DFT calculation with GGA-PBE was carried out for TbCeNp2Sb4 after structural relaxation.

The calculation puts the uncorrected formation energy at -640.5 meV/atom. The calculation puts the uncorrected energy at -58.06 eV for the cell shown.

Structure (CIF):
```
data_TbCeNp2Sb4
_symmetry_space_group_name_H-M 'P 1'
_symmetry_Int_Tables_number 1
_cell_length_a 4.424
_cell_length_b 7.660
_cell_length_c 7.677
_cell_angle_alpha 109.43
_cell_angle_beta 90.00
_cell_angle_gamma 90.00
loop_
_symmetry_equiv_pos_as_xyz
'x,y,z'
loop_
_atom_site_label
_atom_site_type_symbol
_atom_site_fract_x
_atom_site_fract_y
_atom_site_fract_z
Tb1 Tb 0.000 0.000 0.000
Ce1 Ce 0.500 0.500 0.000
Np1 Np 0.500 0.000 0.500
Np2 Np 0.000 0.500 0.500
Sb1 Sb 0.500 0.248 0.252
Sb2 Sb 0.500 0.752 0.748
Sb3 Sb 0.000 0.246 0.747
Sb4 Sb 0.000 0.754 0.253
```